No. 1
First-principles (PBEsol) data for CaLa2HAu after structural relaxation, as listed in Alexandria.

Results
Raw total energy (eV/f.u.): -21.28
V (Å³ per atom): 23.10
Total magnetic moment (Bohr magnetons per cell): 0.00

The structure in CIF format:
```
data_CaLa2HAu
_space_group_name_H-M_alt 'P 4/m m m'
_space_group_IT_number 123
_space_group_name_Hall '-P 4 2'
_cell_length_a 4.850
_cell_length_b 4.850
_cell_length_c 4.911
_cell_angle_alpha 90.00
_cell_angle_beta 90.00
_cell_angle_gamma 90.00
loop_
_atom_site_label
_atom_site_type_symbol
_atom_site_fract_x
_atom_site_fract_y
_atom_site_fract_z
_atom_site_occupancy
Ca1 Ca 0.000 0.000 0.000 1
La1 La 0.000 0.500 0.500 1
H1 H 0.500 0.500 0.500 1
Au1 Au 0.500 0.500 0.000 1
```

No. 2
First-principles (PBEsol) data for LaAg2Pb after structural relaxation, as listed in Alexandria.

Results
Raw total energy (eV/f.u.): -16.71
V (Å³ per atom): 24.29
Total magnetic moment (Bohr magnetons per cell): 0.00
Calculated formation energy (meV per atom): -187

The structure in CIF format:
```
data_LaAg2Pb
_space_group_name_H-M_alt 'P m m m'
_space_group_IT_number 47
_cell_length_a 3.296
_cell_length_b 4.910
_cell_length_c 6.005
_cell_angle_alpha 90.00
_cell_angle_beta 90.00
_cell_angle_gamma 90.00
loop_
_space_group_symop_operation_xyz
'x,y,z'
'-x,-y,-z'
'-x,-y,z'
'x,y,-z'
'x,-y,-z'
'-x,y,z'
'-x,y,-z'
'x,-y,z'
loop_
_atom_site_label
_atom_site_type_symbol
_atom_site_fract_x
_atom_site_fract_y
_atom_site_fract_z
_atom_site_occupancy
La1 La 0.000 0.000 0.000 1
Ag1 Ag 0.500 0.500 0.236 1
Pb1 Pb 0.500 0.000 0.500 1
```